The following is a DFT calculation (SCAN) of a PBEsol-optimized structure of KY2Ir.

The structure belongs to space group P4/mmm (No. 123); the cell edges are 3.473, 3.473 and 10.315 Å and the angles 90.00°, 90.00° and 90.00°. The distinct sites, in fractional coordinates, are K at (0.000, 0.000, 0.000), Y at (0.500, 0.500, 0.348) and Ir at (0.000, 0.000, 0.500).

For the density of states at the Fermi level, the calculation gives 2.00 states/eV per cell. As for the total energy: -34.193 eV per atom.